Below is an optimized crystal structure of Na2MgSn4, with properties calculated at the PBE level.

final energy: -2.878 eV per atom
E_form: 0.1 eV per formula unit
symmetry: Cmmm (65)

Cell: 6.0589 13.9155 5.5741 Å, 90.00 90.00 90.00°
Sites, in units of the cell vectors:
Na 0.0000 0.1513 0.0000
Na 0.0000 0.8487 0.0000
Na 0.5000 0.3487 0.0000
Na 0.5000 0.6513 0.0000
Mg 0.0000 0.5000 0.5000
Mg 0.5000 0.0000 0.5000
Sn 0.0000 0.2897 0.5000
Sn 0.0000 0.3946 0.0000
Sn 0.0000 0.6054 0.0000
Sn 0.0000 0.7103 0.5000
Sn 0.5000 0.1054 0.0000
Sn 0.5000 0.2103 0.5000
Sn 0.5000 0.7897 0.5000
Sn 0.5000 0.8946 0.0000

---

Below is an optimized crystal structure of ZnCr2Cl, with properties calculated at the PBE level.

ΔE_f (raw): 0.6326 eV per atom
energy above the lowest structure with this stoichiometry: 0.520 eV per atom
final energy: -4.959 eV per atom
symmetry: F-43m (216)

Cell: 6.4766 6.4766 6.4766 Å, 90.00 90.00 90.00°
Sites, in units of the cell vectors:
Zn 0.0000 0.0000 0.0000
Zn 0.0000 0.5000 0.5000
Zn 0.5000 0.0000 0.5000
Zn 0.5000 0.5000 0.0000
Cr 0.0000 0.0000 0.5000
Cr 0.0000 0.5000 0.0000
Cr 0.2500 0.2500 0.2500
Cr 0.2500 0.7500 0.7500
Cr 0.5000 0.0000 0.0000
Cr 0.5000 0.5000 0.5000
Cr 0.7500 0.2500 0.7500
Cr 0.7500 0.7500 0.2500
Cl 0.2500 0.2500 0.7500
Cl 0.2500 0.7500 0.2500
Cl 0.7500 0.2500 0.2500
Cl 0.7500 0.7500 0.7500

---

Below is an optimized crystal structure of Hf2AgHgO, with properties calculated at the PBE level.

ΔE_f (raw): 0.7589 eV per atom
energy above the lowest structure with this stoichiometry: 0.000 eV per atom
final energy: -4.845 eV per atom
symmetry: P4/mmm (123)

Cell: 5.3122 5.3122 3.8413 Å, 90.00 90.00 90.00°
Sites, in units of the cell vectors:
Hf 0.0000 0.5000 0.0000
Hf 0.5000 0.0000 0.0000
Ag 0.0000 0.0000 0.0000
Hg 0.5000 0.5000 0.5000
O 0.0000 0.0000 0.5000

---

Below is an optimized crystal structure of HfTiCuMo, with properties calculated at the PBE level.

energy above the lowest structure with this stoichiometry: 0.040 eV per atom
final energy: -8.295 eV per atom
E_form: -0.4 eV per formula unit
symmetry: F-43m (216)

Cell: 6.4090 6.4090 6.4090 Å, 90.00 90.00 90.00°
Sites, in units of the cell vectors:
Hf 0.0000 0.0000 0.0000
Hf 0.0000 0.5000 0.5000
Hf 0.5000 0.0000 0.5000
Hf 0.5000 0.5000 0.0000
Ti 0.0000 0.0000 0.5000
Ti 0.0000 0.5000 0.0000
Ti 0.5000 0.0000 0.0000
Ti 0.5000 0.5000 0.5000
Cu 0.2500 0.2500 0.2500
Cu 0.2500 0.7500 0.7500
Cu 0.7500 0.2500 0.7500
Cu 0.7500 0.7500 0.2500
Mo 0.2500 0.2500 0.7500
Mo 0.2500 0.7500 0.2500
Mo 0.7500 0.2500 0.2500
Mo 0.7500 0.7500 0.7500

---

Below is an optimized crystal structure of KMgSb3, with properties calculated at the PBE level.

ΔE_f (raw): 1.1240 eV per atom
energy above the lowest structure with this stoichiometry: 1.008 eV per atom
final energy: -1.888 eV per atom
symmetry: Pm-3m (221)

Cell: 5.8190 5.8190 5.8190 Å, 90.00 90.00 90.00°
Sites, in units of the cell vectors:
K 0.0000 0.0000 0.0000
Mg 0.5000 0.5000 0.5000
Sb 0.0000 0.0000 0.5000
Sb 0.0000 0.5000 0.0000
Sb 0.5000 0.0000 0.0000

---

Below is an optimized crystal structure of LaInNi5, with properties calculated at the PBE level.

energy above the lowest structure with this stoichiometry: 0.009 eV per atom
final energy: -5.511 eV per atom
E_form: -2.0 eV per formula unit
symmetry: Pnma (62)

Cell: 8.2206 4.9410 10.4636 Å, 90.00 90.00 90.00°
Sites, in units of the cell vectors:
La 0.2491 0.2500 0.0590
La 0.2509 0.7500 0.5590
La 0.7491 0.2500 0.4410
La 0.7509 0.7500 0.9410
In 0.1388 0.2500 0.3621
In 0.3612 0.7500 0.8621
In 0.6388 0.2500 0.1379
In 0.8612 0.7500 0.6379
Ni 0.0493 0.2500 0.6102
Ni 0.0674 0.0003 0.8111
Ni 0.0674 0.4997 0.8111
Ni 0.0836 0.7500 0.0166
Ni 0.1864 0.7500 0.2426
Ni 0.3136 0.2500 0.7426
Ni 0.4164 0.2500 0.5166
Ni 0.4326 0.9997 0.3111
Ni 0.4326 0.5003 0.3111
Ni 0.4507 0.7500 0.1102
Ni 0.5493 0.2500 0.8898
Ni 0.5674 0.0003 0.6889
Ni 0.5674 0.4997 0.6889
Ni 0.5836 0.7500 0.4834
Ni 0.6864 0.7500 0.2574
Ni 0.8136 0.2500 0.7574
Ni 0.9164 0.2500 0.9834
Ni 0.9326 0.9997 0.1889
Ni 0.9326 0.5003 0.1889
Ni 0.9507 0.7500 0.3898

---

Below is an optimized crystal structure of TbCe2Ni9, with properties calculated at the PBE level.

final energy: -6.104 eV per atom
E_form: -4.7 eV per formula unit
symmetry: R-3m (166)

Cell: 8.7095 8.7095 8.7095 Å, 32.96 32.96 32.96°
Sites, in units of the cell vectors:
Tb 0.0000 0.0000 0.0000
Ce 0.1385 0.1385 0.1385
Ce 0.8615 0.8615 0.8615
Ni 0.0818 0.5819 0.5819
Ni 0.3329 0.3329 0.3329
Ni 0.4181 0.4181 0.9182
Ni 0.4181 0.9182 0.4181
Ni 0.5000 0.5000 0.5000
Ni 0.5819 0.0818 0.5819
Ni 0.5819 0.5819 0.0818
Ni 0.6671 0.6671 0.6671
Ni 0.9182 0.4181 0.4181

---

What did the fourth record say?
Below is an optimized crystal structure of HfTiCuMo, with properties calculated at the PBE level.

energy above the lowest structure with this stoichiometry: 0.040 eV per atom
final energy: -8.295 eV per atom
E_form: -0.4 eV per formula unit
symmetry: F-43m (216)

Cell: 6.4090 6.4090 6.4090 Å, 90.00 90.00 90.00°
Sites, in units of the cell vectors:
Hf 0.0000 0.0000 0.0000
Hf 0.0000 0.5000 0.5000
Hf 0.5000 0.0000 0.5000
Hf 0.5000 0.5000 0.0000
Ti 0.0000 0.0000 0.5000
Ti 0.0000 0.5000 0.0000
Ti 0.5000 0.0000 0.0000
Ti 0.5000 0.5000 0.5000
Cu 0.2500 0.2500 0.2500
Cu 0.2500 0.7500 0.7500
Cu 0.7500 0.2500 0.7500
Cu 0.7500 0.7500 0.2500
Mo 0.2500 0.2500 0.7500
Mo 0.2500 0.7500 0.2500
Mo 0.7500 0.2500 0.2500
Mo 0.7500 0.7500 0.7500